5
Lattice="4.375 0.000 0.000 0.000 5.194 0.000 0.000 0.000 4.375" Properties=species:S:1:pos:R:3 comment="Ti2CrHgCl, relaxed, DFT GGA-PBE" energy_ha_per_atom=-0.1699 pbc="T T T"
Cl 0.000 0.000 0.000
Hg 0.000 2.597 0.000
Cr 2.188 2.597 2.188
Ti 0.000 0.000 2.188
Ti 2.188 0.000 0.000



12
Lattice="-6.769 1.684 4.200 -5.214 -3.047 -1.992 -0.389 -5.776 4.220" Properties=species:S:1:pos:R:3 comment="TlCr2HgCl8, relaxed, DFT GGA-PBE" energy_ha_per_atom=-0.1451 pbc="T T T"
Cl -4.555 -6.010 3.122
Cl -4.361 -3.087 0.969
Cl -8.010 -4.052 5.459
Cl -4.931 -0.029 2.104
Cl -7.254 -4.214 2.228
Cr -6.282 -5.031 4.283
Hg 0.000 0.000 0.000
Cr -6.089 -2.108 2.145
Cl -7.441 -7.110 4.324
Cl -7.817 -1.129 3.306
Tl -0.194 -2.888 2.110
Cl -5.118 -2.925 4.199



5
Lattice="-2.648 -3.881 0.939 5.026 -3.341 0.371 0.281 0.942 4.689" Properties=species:S:1:pos:R:3 comment="TlCrHgCl2, relaxed, DFT GGA-PBE" energy_ha_per_atom=-0.1322 pbc="T T T"
Hg 1.329 -3.140 2.999
Cl 0.140 0.471 2.345
Tl 2.513 -1.670 0.185
Cr 0.000 0.000 0.000
Cl -1.324 -1.940 0.469



5
Lattice="-0.670 1.713 -4.169 -4.862 0.946 1.170 1.169 4.136 1.512" Properties=species:S:1:pos:R:3 comment="YCr2HgCl, relaxed, DFT GGA-PBE" energy_ha_per_atom=-0.1935 pbc="T T T"
Y -2.431 0.473 0.585
Hg -2.181 3.398 -0.743
Cl 0.000 0.000 0.000
Cr -0.335 0.856 -2.084
Cr 0.584 2.068 0.756



5
Lattice="-1.627 -2.560 4.192 4.869 -0.187 1.776 -0.725 4.492 2.462" Properties=species:S:1:pos:R:3 comment="ZnCrHg2Cl, relaxed, DFT GGA-PBE" energy_ha_per_atom=-0.0831 pbc="T T T"
Zn 0.000 0.000 0.000
Cr 1.259 0.873 4.215
Cl 2.435 -0.094 0.888
Hg -0.362 2.246 1.231
Hg -0.814 -1.280 2.096



8
Lattice="6.355 0.008 0.009 3.171 5.508 0.012 3.168 1.831 5.732" Properties=species:S:1:pos:R:3 comment="HoCrCl6, relaxed, DFT GGA-PBE" energy_ha_per_atom=-0.1750 pbc="T T T"
Cr 0.000 0.000 0.000
Cl 7.582 1.875 4.382
Cl 5.412 1.706 1.366
Cl 5.112 5.471 1.371
Cl 8.523 3.849 1.373
Ho 6.347 3.673 2.876
Cl 4.171 3.498 4.379
Cl 7.281 5.640 4.387



18
Lattice="6.608 0.000 0.000 -3.304 5.722 0.000 0.000 0.000 12.665" Properties=species:S:1:pos:R:3 comment="NaHoCrCl6, relaxed, DFT GGA-PBE" energy_ha_per_atom=-0.1714 pbc="T T T"
Cl -1.109 2.079 8.042
Cl 0.949 5.643 10.956
Cl 2.355 0.079 1.710
Cl 2.058 3.723 8.042
Cl 1.109 2.079 10.956
Cl 4.253 0.079 4.623
Cl 2.195 3.643 1.710
Cr 3.304 1.907 3.166
Na 0.000 0.000 6.333
Cl 1.246 2.000 4.623
Cl -0.949 5.643 8.042
Cl -2.058 3.723 10.956
Na 0.000 0.000 0.000
Cr 0.000 3.815 9.499
Ho 3.304 1.907 9.499
Cl 4.413 3.643 4.623
Cl 5.362 2.000 1.710
Ho 0.000 3.815 3.166



8
Lattice="-1.026 -1.257 -4.498 6.920 2.902 -2.390 1.771 -6.341 3.910" Properties=species:S:1:pos:R:3 comment="CrI2Cl, relaxed, DFT GGA-PBE" energy_ha_per_atom=-0.1534 relative_energy_kcal_per_mol_atoms=0.00 pbc="T T T"
I 3.394 -4.453 -2.072
I 6.854 -3.002 -3.266
Cr 1.730 0.725 -0.599
Cl 1.217 0.097 -2.847
I 4.270 -0.244 -0.906
I 0.810 -1.695 0.289
Cl 4.677 1.548 -4.041
Cr 4.164 0.920 -6.288



8
Lattice="-2.968 -2.986 3.970 -0.448 -4.445 -3.679 4.250 -6.358 2.613" Properties=species:S:1:pos:R:3 comment="Cr2ICl, relaxed, DFT GGA-PBE" energy_ha_per_atom=-0.2015 relative_energy_kcal_per_mol_atoms=0.00 pbc="T T T"
Cl -1.708 -3.716 0.146
Cr -0.682 -3.845 2.452
Cr 0.245 -4.908 -0.927
Cr 0.223 -11.022 2.421
Cl 1.047 -7.259 -0.460
Cr 1.882 -7.804 1.863
I 0.000 0.000 0.000
I -0.213 -6.530 3.364



4
Lattice="2.047 0.000 11.425 -1.023 1.773 11.425 -1.023 -1.773 11.425" Properties=species:S:1:pos:R:3 comment="CrICl2, relaxed, DFT GGA-PBE" energy_ha_per_atom=-0.1577 relative_energy_kcal_per_mol_atoms=0.00 pbc="T T T"
Cl 0.000 0.000 4.303
Cl 0.000 0.000 29.972
Cr 0.000 0.000 17.138
I 0.000 0.000 0.000



5
Lattice="5.456 0.000 0.000 0.000 5.456 0.000 0.000 0.000 5.456" Properties=species:S:1:pos:R:3 comment="CrI3Cl, relaxed, DFT GGA-PBE" energy_ha_per_atom=-0.1154 relative_energy_kcal_per_mol_atoms=10.11 pbc="T T T"
Cr 0.000 0.000 0.000
I 0.000 2.728 0.000
I 0.000 0.000 2.728
Cl 2.728 2.728 2.728
I 2.728 0.000 0.000



5
Lattice="4.769 0.000 0.000 0.000 4.769 0.000 0.000 0.000 4.769" Properties=species:S:1:pos:R:3 comment="CrICl3, relaxed, DFT GGA-PBE" energy_ha_per_atom=-0.1254 relative_energy_kcal_per_mol_atoms=0.00 pbc="T T T"
Cl 0.000 0.000 2.385
Cl 2.385 0.000 0.000
Cl 0.000 2.385 0.000
Cr 0.000 0.000 0.000
I 2.385 2.385 2.385



4
Lattice="0.000 3.147 3.147 3.147 0.000 3.147 3.147 3.147 0.000" Properties=species:S:1:pos:R:3 comment="Cr2ICl, relaxed, DFT GGA-PBE" energy_ha_per_atom=-0.1712 relative_energy_kcal_per_mol_atoms=19.01 pbc="T T T"
Cr 1.574 1.574 1.574
Cl 0.000 0.000 0.000
I 3.147 3.147 3.147
Cr 4.721 4.721 4.721



5
Lattice="5.752 0.000 0.000 0.000 5.752 0.000 0.000 0.000 5.752" Properties=species:S:1:pos:R:3 comment="CrI3Cl, relaxed, DFT GGA-PBE" energy_ha_per_atom=-0.0929 relative_energy_kcal_per_mol_atoms=24.21 pbc="T T T"
I 0.000 0.000 2.876
Cr 2.876 2.876 2.876
I 2.876 0.000 0.000
I 0.000 2.876 0.000
Cl 0.000 0.000 0.000



4
Lattice="-0.540 -0.776 5.159 -2.984 3.245 2.842 -4.580 -1.668 1.936" Properties=species:S:1:pos:R:3 comment="CrI2Cl, relaxed, DFT GGA-PBE" energy_ha_per_atom=-0.1241 relative_energy_kcal_per_mol_atoms=18.40 pbc="T T T"
I -6.078 0.601 7.454
Cr -4.052 0.401 4.969
I -2.026 0.200 2.485
Cl 0.000 0.000 0.000



8
Lattice="7.360 0.000 0.000 0.000 7.360 0.000 3.680 3.680 5.048" Properties=species:S:1:pos:R:3 comment="CrICl2, relaxed, DFT GGA-PBE" energy_ha_per_atom=-0.1498 relative_energy_kcal_per_mol_atoms=4.96 pbc="T T T"
Cl 5.520 6.810 3.786
Cl 9.200 7.910 3.786
Cl 3.130 5.520 1.262
Cr 3.680 7.360 2.524
Cl 4.230 1.840 1.262
I 0.000 0.000 0.000
Cr 3.680 3.680 0.000
I 7.360 3.680 2.524



4
Lattice="0.000 3.645 3.645 3.645 0.000 3.645 3.645 3.645 0.000" Properties=species:S:1:pos:R:3 comment="CrICl2, relaxed, DFT GGA-PBE" energy_ha_per_atom=-0.1254 relative_energy_kcal_per_mol_atoms=20.28 pbc="T T T"
Cl 1.822 1.822 1.822
I 3.645 3.645 3.645
Cr 0.000 0.000 0.000
Cl 5.467 5.467 5.467



10
Lattice="7.118 -1.865 0.000 0.727 6.187 0.000 0.000 0.000 7.809" Properties=species:S:1:pos:R:3 comment="CrI3Cl, relaxed, DFT GGA-PBE" energy_ha_per_atom=-0.1315 relative_energy_kcal_per_mol_atoms=0.00 pbc="T T T"
I 3.898 3.527 0.409
I 0.794 1.402 4.314
Cl 0.435 1.501 0.409
I 7.225 2.979 6.277
I 7.225 2.979 2.351
I 4.585 0.086 2.372
Cr 6.361 4.655 0.409
Cl 4.257 3.428 4.314
I 4.584 0.085 6.255
Cr 6.176 4.596 4.314



5
Lattice="-1.613 4.621 0.647 -4.493 -1.354 -1.532 -1.476 -1.280 5.462" Properties=species:S:1:pos:R:3 comment="CrInICl2, relaxed, DFT GGA-PBE" energy_ha_per_atom=-0.1545 pbc="T T T"
Cl -2.247 -0.677 -0.766
I -0.738 -0.640 2.731
In -3.791 0.993 2.288
Cr 0.000 0.000 0.000
Cl -0.806 2.310 0.324



5
Lattice="5.755 0.000 0.000 0.000 5.755 0.000 0.000 0.000 4.802" Properties=species:S:1:pos:R:3 comment="CrInI2Cl, relaxed, DFT GGA-PBE" energy_ha_per_atom=-0.1456 pbc="T T T"
I 2.877 0.000 0.000
Cr 0.000 0.000 0.000
In 2.877 2.877 2.401
I 0.000 2.877 0.000
Cl 0.000 0.000 2.401



5
Lattice="4.978 0.000 0.000 0.000 4.978 0.000 0.000 0.000 5.790" Properties=species:S:1:pos:R:3 comment="KCrICl2, relaxed, DFT GGA-PBE" energy_ha_per_atom=-0.1587 pbc="T T T"
Cl 2.489 0.000 0.000
Cr 0.000 0.000 0.000
K 2.489 2.489 2.895
Cl 0.000 2.489 0.000
I 0.000 0.000 2.895



5
Lattice="-1.080 -6.494 -0.838 6.323 -1.255 1.576 -0.865 -0.276 3.251" Properties=species:S:1:pos:R:3 comment="CrI2NCl, relaxed, DFT GGA-PBE" energy_ha_per_atom=-0.1192 relative_energy_kcal_per_mol_atoms=24.63 pbc="T T T"
Cr 2.189 -4.012 1.995
I 3.162 -0.627 0.788
N -0.432 -0.138 1.626
Cl 0.000 0.000 0.000
I -0.540 -3.247 -0.419



5
Lattice="-1.841 -3.231 0.574 2.901 -1.910 -1.446 2.672 -0.462 5.972" Properties=species:S:1:pos:R:3 comment="CrIN2Cl, relaxed, DFT GGA-PBE" energy_ha_per_atom=-0.1232 relative_energy_kcal_per_mol_atoms=41.03 pbc="T T T"
N 1.451 -0.955 -0.723
N -0.921 -1.615 0.287
I 1.336 -0.231 2.986
Cl 0.000 0.000 0.000
Cr 1.866 -2.801 2.550



5
Lattice="3.796 0.000 0.000 0.000 3.796 0.000 0.000 0.000 5.718" Properties=species:S:1:pos:R:3 comment="CrIN2Cl, relaxed, DFT GGA-PBE" energy_ha_per_atom=-0.1885 relative_energy_kcal_per_mol_atoms=0.00 pbc="T T T"
N 0.000 1.898 0.000
Cr 0.000 0.000 0.000
Cl 1.898 1.898 2.859
N 1.898 0.000 0.000
I 0.000 0.000 2.859



5
Lattice="-4.012 -2.819 -2.780 3.356 -4.521 -0.258 -1.337 -1.171 3.117" Properties=species:S:1:pos:R:3 comment="CrI2NCl, relaxed, DFT GGA-PBE" energy_ha_per_atom=-0.1584 relative_energy_kcal_per_mol_atoms=0.00 pbc="T T T"
I -2.006 -1.410 -1.390
Cr 0.000 0.000 0.000
I 1.678 -2.260 -0.129
N -0.668 -0.585 1.558
Cl -0.996 -4.255 0.039



5
Lattice="-3.386 0.264 -4.643 1.714 -5.268 -1.550 -3.592 -1.908 2.511" Properties=species:S:1:pos:R:3 comment="NaCrI2Cl, relaxed, DFT GGA-PBE" energy_ha_per_atom=-0.1447 relative_energy_kcal_per_mol_atoms=0.00 pbc="T T T"
Cl -1.796 -0.954 1.256
I 0.857 -2.634 -0.775
I -1.693 0.132 -2.322
Na -2.632 -3.456 -1.841
Cr 0.000 0.000 0.000



5
Lattice="-4.841 -3.761 1.506 1.479 -0.080 4.553 -3.552 5.069 1.243" Properties=species:S:1:pos:R:3 comment="NaCrI2Cl, relaxed, DFT GGA-PBE" energy_ha_per_atom=-0.1122 relative_energy_kcal_per_mol_atoms=20.38 pbc="T T T"
Na 0.740 -0.040 2.277
I -2.421 -1.881 0.753
I -1.776 2.534 0.621
Cl 0.000 0.000 0.000
Cr -3.457 0.614 3.651